1.
Density functional theory data (PBE) for crystalline GaSnHg at its relaxed geometry.

The structure in POSCAR format:
```
GaSnHg
1.0
-0.775 -3.236 -0.195
1.517 1.189 2.719
-6.761 1.429 3.148
Hg Ga Sn
1 1 1
Direct
0.000 0.000 0.016
0.667 0.333 0.329
0.333 0.667 0.655
```

Properties
The calculation puts the total magnetization at 0.00 μB per cell. The polymorph energy (0 for the lowest one) comes out at 36 meV per atom. As for the space-group type: P3m1, No. 156. The calculation puts the formation energy from the elements at 0.2 eV/f.u.

2.
Density functional theory data (PBE) for crystalline GaSnHg3 at its relaxed geometry.

The structure in POSCAR format:
```
GaSnHg3
1.0
7.432 0.549 0.046
-3.739 5.380 -0.619
1.586 1.939 6.240
Ga Sn Hg
2 2 6
Direct
0.293 0.026 0.753
0.505 0.870 0.032
0.580 0.246 0.270
0.718 0.086 0.597
0.053 0.617 0.142
0.490 0.624 0.429
0.974 0.114 0.989
0.088 0.032 0.403
0.533 0.485 0.876
0.030 0.570 0.658
```

Properties
The calculation puts the total magnetization at 0.00 μB per cell. The polymorph energy (0 for the lowest one) comes out at 0 meV per atom. As for the space-group type: P1, No. 1. The calculation puts the formation energy from the elements at 0.3 eV/f.u.

Question: Which value of polymorph energy (0 for the lowest one) does entry 1 give?
Answer: 36 meV per atom